{
  "formula": "Li3Cu7Ni",
  "functional": "PBE",
  "state": "optimized geometry",
  "formation_enthalpy_0k_kcal_per_mol_atoms": 4.6,
  "spacegroup": "C2/m, No. 12",
  "mass_density_g_cm3": 5.92,
  "dft_energy_ev_per_fu": -37.98,
  "cell": [[4.0642, -4.2577, 0.0000], [4.0642, 4.2577, 0.0000], [-1.9166, 0.0000, 4.2522]],
  "species": ["Li", "Li", "Li", "Cu", "Cu", "Cu", "Cu", "Cu", "Cu", "Cu", "Ni"],
  "frac_coords": [[0.0000, 0.0000, 0.0000], [0.2221, 0.7779, 0.5000], [0.7779, 0.2221, 0.5000], [0.0811, 0.5791, 0.8214], [0.2092, 0.2092, 0.5482], [0.4209, 0.9189, 0.1786], [0.5000, 0.5000, 0.5000], [0.5791, 0.0811, 0.8214], [0.7908, 0.7908, 0.4518], [0.9189, 0.4209, 0.1786], [0.5000, 0.5000, 0.0000]]
}